Density functional theory data (PBE-GGA) for an optimized crystal structure of Ba4RuPt.

The structure in POSCAR format:
```
Ba4RuPt
1.0
0.000 4.738 4.738
4.738 0.000 4.738
4.738 4.738 0.000
Ba Ru Pt
4 1 1
direct
0.125 0.125 0.125 Ba
0.125 0.125 0.625 Ba
0.125 0.625 0.125 Ba
0.625 0.125 0.125 Ba
0.500 0.500 0.500 Ru
0.750 0.750 0.750 Pt
```

Output
- D(E_F): 1.66 states/eV/atom
- Total moment: 0.2 μB per cell
- ΔH_f (0 K): 1.06 eV/atom
- Symmetry: F-43m